Cd3SnPd3: relaxed, GGA-PBE.

```
data_Cd3SnPd3
_symmetry_space_group_name_H-M 'P 1'
_symmetry_Int_Tables_number 1
_cell_length_a 6.6164
_cell_length_b 6.6164
_cell_length_c 6.2082
_cell_angle_alpha 90.00
_cell_angle_beta 90.00
_cell_angle_gamma 91.14
loop_
_symmetry_equiv_pos_as_xyz
'x,y,z'
loop_
_atom_site_label
_atom_site_type_symbol
_atom_site_fract_x
_atom_site_fract_y
_atom_site_fract_z
_atom_site_occupancy
Cd1 Cd 0.2243 0.2243 0.5000 1
Cd2 Cd 0.2384 0.7616 0.0000 1
Cd3 Cd 0.2393 0.2393 0.0000 1
Cd4 Cd 0.7607 0.7607 0.0000 1
Cd5 Cd 0.7616 0.2384 0.0000 1
Cd6 Cd 0.7757 0.7757 0.5000 1
Sn1 Sn 0.2520 0.7480 0.5000 1
Sn2 Sn 0.7480 0.2520 0.5000 1
Pd1 Pd 0.0000 0.5000 0.2543 1
Pd2 Pd 0.0000 0.5000 0.7457 1
Pd3 Pd 0.5000 0.0000 0.2543 1
Pd4 Pd 0.5000 0.0000 0.7457 1
Pd5 Pd 0.5000 0.5000 0.2587 1
Pd6 Pd 0.5000 0.5000 0.7413 1
```

Computed properties:
ΔE to the lowest computed polymorph, eV/f.u.: 0.07
Energy of formation from the pure elements, meV/atom: -363.6
DFT total energy, eV/atom: -3.553